Version A
DFT (meta-GGA SCAN) results for a PBEsol-optimized structure of OsSeBr2.

Cell and atoms, written as CIF:
```
data_OsSeBr2
_cell_length_a 3.050
_cell_length_b 4.515
_cell_length_c 5.450
_cell_angle_alpha 90.00
_cell_angle_beta 90.00
_cell_angle_gamma 90.00
_space_group_name_H-M_alt 'P m m m'
_space_group_IT_number 47
loop_
_space_group_symop_operation_xyz
'x,y,z'
'-x,-y,-z'
'-x,-y,z'
'x,y,-z'
'x,-y,-z'
'-x,y,z'
'-x,y,-z'
'x,-y,z'
loop_
_atom_site_label
_atom_site_fract_x
_atom_site_fract_y
_atom_site_fract_z
Os1 0.000 0.000 0.000
Se1 0.500 0.000 0.500
Br1 0.000 0.500 0.500
Br2 0.500 0.500 0.000
```


Version B
DFT (meta-GGA SCAN) results for a PBEsol-optimized structure of OsSeBr2.

Cell and atoms, written as CIF:
```
data_OsSeBr2
_cell_length_a 3.016
_cell_length_b 3.016
_cell_length_c 9.626
_cell_angle_alpha 90.00
_cell_angle_beta 90.00
_cell_angle_gamma 90.00
_space_group_name_H-M_alt 'P 4 m m'
_space_group_IT_number 99
loop_
_space_group_symop_operation_xyz
'x,y,z'
'-y,x,z'
'-x,-y,z'
'y,-x,z'
'-x,y,z'
'y,x,z'
'x,-y,z'
'-y,-x,z'
loop_
_atom_site_label
_atom_site_fract_x
_atom_site_fract_y
_atom_site_fract_z
Os1 0.000 0.000 0.000
Se1 0.500 0.500 0.141
Br1 0.000 0.000 0.454
Br2 0.500 0.500 0.799
```


Version C
DFT (meta-GGA SCAN) results for a PBEsol-optimized structure of OsSeBr2.

Cell and atoms, written as CIF:
```
data_OsSeBr2
_cell_length_a 6.126
_cell_length_b 7.885
_cell_length_c 3.023
_cell_angle_alpha 90.00
_cell_angle_beta 90.00
_cell_angle_gamma 90.00
_space_group_name_H-M_alt 'C m m m'
_space_group_IT_number 65
_space_group_name_Hall '-C 2 2'
loop_
_atom_site_label
_atom_site_fract_x
_atom_site_fract_y
_atom_site_fract_z
Os1 0.000 0.000 0.000
Se1 0.000 0.500 0.000
Br1 0.250 0.250 0.500
```


Here is how they stack up, most stable first: version B, version A, version C.